1.
VASP calculation (PBE) on a relaxed structure of FeCo2Rh.

Values from the calculation:
**Final energy**: -7.412 eV/atom
**Energy relative to the elements**: 2.169 kcal/mol of atoms
**E above lowest polymorph**: 0.072 eV per atom

The structure in extended XYZ format:
```
4
Lattice="1.3026 0.7521 8.3418 -1.3026 0.7521 8.3418 0.0000 -1.5041 8.3418" Properties=species:S:1:pos:R:3 pbc="T T T"
Fe 0.0000 0.0000 0.0000
Co 0.0000 0.0000 6.3238
Co 0.0000 0.0000 10.3711
Rh 0.0000 0.0000 20.8632
```



2.
VASP calculation (PBE) on a relaxed structure of Fe2CoRh4.

Values from the calculation:
**Final energy**: -7.459 eV/atom
**Energy relative to the elements**: 4.033 kcal/mol of atoms

The structure in extended XYZ format:
```
7
Lattice="2.5050 -4.0988 0.0000 2.5050 4.0988 0.0000 0.0000 0.0000 4.7101" Properties=species:S:1:pos:R:3 pbc="T T T"
Fe 0.0000 0.0000 1.1505
Fe 0.0000 0.0000 3.5596
Co 2.5050 0.0000 2.3551
Rh 1.2525 2.0494 2.3551
Rh 2.5050 1.3993 0.0000
Rh 1.2525 -2.0494 2.3551
Rh 2.5050 -1.3993 0.0000
```



3.
VASP calculation (PBE) on a relaxed structure of Fe2CoRh5.

Values from the calculation:
**Final energy**: -7.518 eV/atom
**Energy relative to the elements**: 1.862 kcal/mol of atoms

The structure in extended XYZ format:
```
8
Lattice="-3.0096 3.0096 3.0317 3.0096 -3.0096 3.0317 3.0096 3.0096 -3.0317" Properties=species:S:1:pos:R:3 pbc="T T T"
Fe 3.0096 0.0000 0.0000
Fe 0.0000 3.0096 0.0000
Co 0.0000 0.0000 0.2566
Rh 0.0000 0.0000 2.7672
Rh 1.6260 1.6260 1.5218
Rh 1.3836 -1.3836 4.5535
Rh -1.3836 1.3836 4.5535
Rh 1.3836 1.3836 4.5535
```



4.
VASP calculation (PBE) on a relaxed structure of Fe5Co6Rh.

Values from the calculation:
**Final energy**: -7.713 eV/atom
**Energy relative to the elements**: -0.493 kcal/mol of atoms

The structure in extended XYZ format:
```
12
Lattice="2.0059 -6.0333 0.0000 2.0059 6.0333 0.0000 0.0000 0.0000 5.8289" Properties=species:S:1:pos:R:3 pbc="T T T"
Fe 0.0000 0.0000 0.0000
Fe 2.0059 2.0061 0.0000
Fe 2.0059 1.9667 2.9145
Fe 2.0059 -1.9667 2.9145
Fe 2.0059 -2.0061 0.0000
Co 2.0059 3.9710 1.4207
Co 2.0059 3.9710 4.4082
Co 2.0059 0.0000 1.3535
Co 2.0059 0.0000 4.4754
Co 2.0059 -3.9710 1.4207
Co 2.0059 -3.9710 4.4082
Rh 0.0000 0.0000 2.9145
```



5.
VASP calculation (PBE) on a relaxed structure of Fe2Co2Rh.

Values from the calculation:
**Final energy**: -7.395 eV/atom
**Energy relative to the elements**: 6.973 kcal/mol of atoms
**E above lowest polymorph**: 0.213 eV per atom

The structure in extended XYZ format:
```
10
Lattice="6.6721 0.0000 0.0000 0.0000 6.6721 0.0000 0.0000 0.0000 2.5451" Properties=species:S:1:pos:R:3 pbc="T T T"
Fe 1.1568 2.1792 0.0000
Fe 2.1792 5.5153 0.0000
Fe 4.4928 1.1568 0.0000
Fe 5.5153 4.4928 0.0000
Co 0.8199 4.1560 1.2725
Co 2.5161 0.8199 1.2725
Co 4.1560 5.8521 1.2725
Co 5.8521 2.5161 1.2725
Rh 0.0000 0.0000 1.2725
Rh 3.3360 3.3360 1.2725
```



6.
VASP calculation (PBE) on a relaxed structure of FeCo2Rh.

Values from the calculation:
**Final energy**: -7.421 eV/atom
**Energy relative to the elements**: 1.968 kcal/mol of atoms
**E above lowest polymorph**: 0.064 eV per atom

The structure in extended XYZ format:
```
4
Lattice="0.0000 2.9157 2.9157 2.9157 0.0000 2.9157 2.9157 2.9157 0.0000" Properties=species:S:1:pos:R:3 pbc="T T T"
Fe 0.0000 0.0000 0.0000
Co 2.9157 2.9157 2.9157
Co 4.3735 4.3735 4.3735
Rh 1.4578 1.4578 1.4578
```



7.
VASP calculation (PBE) on a relaxed structure of FeCo2Rh.

Values from the calculation:
**Final energy**: -7.464 eV/atom
**Energy relative to the elements**: 0.986 kcal/mol of atoms
**E above lowest polymorph**: 0.021 eV per atom

The structure in extended XYZ format:
```
4
Lattice="4.2613 -1.3173 0.0000 4.2613 1.3173 0.0000 -0.8449 0.0000 4.3584" Properties=species:S:1:pos:R:3 pbc="T T T"
Fe 0.0000 0.0000 0.0000
Co 1.4912 0.0000 3.2760
Co 3.8770 0.0000 2.2665
Rh 6.2188 0.0000 1.1403
```



8.
VASP calculation (PBE) on a relaxed structure of Fe3CoRh4.

Values from the calculation:
**Final energy**: -7.726 eV/atom
**Energy relative to the elements**: 0.266 kcal/mol of atoms

The structure in extended XYZ format:
```
16
Lattice="8.5716 0.0000 0.0000 0.0000 5.4102 0.0000 0.0000 0.0000 4.5080" Properties=species:S:1:pos:R:3 pbc="T T T"
Fe 0.0000 0.0000 0.0000
Fe 2.1429 0.0000 1.5802
Fe 2.1429 2.7051 1.5319
Fe 4.2858 0.0000 0.0000
Fe 6.4287 0.0000 2.9277
Fe 6.4287 2.7051 2.9760
Co 0.0000 2.7051 0.0000
Co 4.2858 2.7051 0.0000
Rh 0.0000 1.3637 2.2540
Rh 0.0000 4.0465 2.2540
Rh 2.1429 1.3606 3.8628
Rh 2.1429 4.0496 3.8628
Rh 4.2858 1.3637 2.2540
Rh 4.2858 4.0465 2.2540
Rh 6.4287 1.3606 0.6452
Rh 6.4287 4.0496 0.6452
```



9.
VASP calculation (PBE) on a relaxed structure of Fe2Co2Rh15.

Values from the calculation:
**Final energy**: -7.046 eV/atom
**Energy relative to the elements**: 9.136 kcal/mol of atoms

The structure in extended XYZ format:
```
19
Lattice="4.3675 2.5216 4.4731 -4.3675 2.5216 4.4731 0.0000 -5.0432 4.4731" Properties=species:S:1:pos:R:3 pbc="T T T"
Fe 0.0000 0.0000 1.2599
Fe 0.0000 0.0000 12.1595
Co 0.0000 0.0000 3.6436
Co 0.0000 0.0000 9.7757
Rh -4.3675 0.0000 6.7097
Rh -1.3495 -2.7057 4.4731
Rh -2.1838 1.2608 2.2366
Rh -3.0180 0.1841 4.4731
Rh -2.1812 -1.2593 6.5174
Rh 1.3495 -2.7057 4.4731
Rh -1.6684 2.5216 4.4731
Rh 0.0000 -2.5187 6.9020
Rh -2.1812 1.2593 6.9020
Rh 2.1838 1.2608 2.2366
Rh 2.1812 -1.2593 6.5174
Rh 0.0000 2.5187 6.5174
Rh 3.0180 0.1841 4.4731
Rh 1.6684 2.5216 4.4731
Rh 2.1812 1.2593 6.9020
```



10.
VASP calculation (PBE) on a relaxed structure of FeCo4Rh2.

Values from the calculation:
**Final energy**: -7.107 eV/atom
**Energy relative to the elements**: 6.052 kcal/mol of atoms

The structure in extended XYZ format:
```
14
Lattice="6.5558 0.0000 0.0000 0.0000 6.5558 0.0000 0.0000 0.0000 4.2681" Properties=species:S:1:pos:R:3 pbc="T T T"
Fe 0.0000 0.0000 0.0000
Fe 3.2779 3.2779 2.1341
Co 0.6169 2.3431 0.0000
Co 0.9348 3.8948 2.1341
Co 2.3431 0.6169 0.0000
Co 2.6609 5.6210 2.1341
Co 3.8948 0.9348 2.1341
Co 4.2127 5.9388 0.0000
Co 5.6210 2.6609 2.1341
Co 5.9388 4.2127 0.0000
Rh 1.1396 1.1396 2.1341
Rh 2.1383 4.4175 0.0000
Rh 4.4175 2.1383 0.0000
Rh 5.4161 5.4161 2.1341
```



11.
VASP calculation (PBE) on a relaxed structure of Fe2CoRh.

Values from the calculation:
**Final energy**: -7.806 eV/atom
**Energy relative to the elements**: 0.911 kcal/mol of atoms
**E above lowest polymorph**: 0.086 eV per atom

The structure in extended XYZ format:
```
4
Lattice="3.7205 0.0000 0.0000 0.0000 3.7205 0.0000 0.0000 0.0000 3.5700" Properties=species:S:1:pos:R:3 pbc="T T T"
Fe 0.0000 1.8603 0.0000
Fe 1.8603 0.0000 0.0000
Co 0.0000 0.0000 1.7850
Rh 1.8603 1.8603 1.7850
```



12.
VASP calculation (PBE) on a relaxed structure of FeCo3Rh3.

Values from the calculation:
**Final energy**: -7.091 eV/atom
**Energy relative to the elements**: 7.245 kcal/mol of atoms

The structure in extended XYZ format:
```
7
Lattice="3.6943 2.1329 1.9873 -3.6943 2.1329 1.9873 0.0000 -4.2658 1.9873" Properties=species:S:1:pos:R:3 pbc="T T T"
Fe 0.0000 0.0000 0.0000
Co 0.0000 -1.4468 4.1596
Co -1.2530 0.7234 4.1596
Co 1.2530 0.7234 4.1596
Rh 0.0000 -1.7879 1.6546
Rh -1.5484 0.8940 1.6546
Rh 1.5484 0.8940 1.6546
```



no.,D(E_F) (states/eV/f.u.),ρ (Mg/m³),spin magnetization (μB per formula unit)
1,6.4,9.37,6.681
2,10.0,10.00,10.255
3,9.0,10.36,11.631
4,8.4,8.66,25.086
5,15.0,9.75,0.002
6,6.3,9.27,7.413
7,5.1,9.39,6.887
8,14.3,10.14,10.931
9,28.9,9.96,15.838
10,7.7,9.01,11.818
11,5.6,9.19,7.341
12,11.6,9.57,9.161